[1]
# Be4FeRe, optimized geometry, DFT PBEsol
# Density of states at the Fermi level in states/eV per cell: 10.36
# Magnetization in μB per cell: 6.76
# VASP energy in eV per atom: -6.624
# Volume in Å³/f.u.: 53.89
# Calculated density in g/cm3: 8.6
data_Be4FeRe
_chemical_formula_sum 'Be16 Fe4 Re4'
_symmetry_space_group_name_H-M 'F -4 3 m'
_symmetry_Int_Tables_number 216
_symmetry_space_group_name_Hall 'F -4 2 3'
_cell_length_a 5.9961
_cell_length_b 5.9961
_cell_length_c 5.9961
_cell_angle_alpha 90.00
_cell_angle_beta 90.00
_cell_angle_gamma 90.00
loop_
_atom_site_label
_atom_site_type_symbol
_atom_site_fract_x
_atom_site_fract_y
_atom_site_fract_z
_atom_site_occupancy
Be1 Be 0.1237 0.1237 0.3763 1
Fe1 Fe 0.0000 0.0000 0.0000 1
Re1 Re 0.2500 0.2500 0.7500 1

***

[2]
# BaScS2N, optimized geometry, DFT PBEsol
# Density of states at the Fermi level in states/eV per cell: 1.70
# Magnetization in μB per cell: 1.98
# Energy above the lowest structure with this stoichiometry in meV/atom: 0
# Formation energy (no corrections) in meV per atom: -1175
# Volume in Å³/f.u.: 107.67
# Calculated density in g/cm3: 4.0
data_BaScS2N
_chemical_formula_sum 'Ba1 Sc1 S2 N1'
_symmetry_space_group_name_H-M 'P 4/m m m'
_symmetry_Int_Tables_number 123
_symmetry_space_group_name_Hall '-P 4 2'
_cell_length_a 5.0416
_cell_length_b 5.0416
_cell_length_c 4.2361
_cell_angle_alpha 90.00
_cell_angle_beta 90.00
_cell_angle_gamma 90.00
loop_
_atom_site_label
_atom_site_type_symbol
_atom_site_fract_x
_atom_site_fract_y
_atom_site_fract_z
_atom_site_occupancy
Ba1 Ba 0.0000 0.0000 0.0000 1
Sc1 Sc 0.5000 0.5000 0.5000 1
S1 S 0.0000 0.5000 0.5000 1
N1 N 0.5000 0.5000 0.0000 1

***

[3]
# TaNbS2, optimized geometry, DFT PBEsol
# Density of states at the Fermi level in states/eV per cell: 19.58
# Magnetization in μB per cell: 1.82
# Formation energy (no corrections) in meV per atom: -203
# Volume in Å³/f.u.: 79.69
# Calculated density in g/cm3: 7.0
data_TaNbS2
_chemical_formula_sum 'Ta4 Nb4 S8'
_symmetry_space_group_name_H-M 'I -4 2 d'
_symmetry_Int_Tables_number 122
_symmetry_space_group_name_Hall 'I -4 2bw'
_cell_length_a 5.7130
_cell_length_b 5.7130
_cell_length_c 9.7664
_cell_angle_alpha 90.00
_cell_angle_beta 90.00
_cell_angle_gamma 90.00
loop_
_atom_site_label
_atom_site_type_symbol
_atom_site_fract_x
_atom_site_fract_y
_atom_site_fract_z
_atom_site_occupancy
Ta1 Ta 0.0000 0.0000 0.0000 1
Nb1 Nb 0.0000 0.0000 0.5000 1
S1 S 0.2454 0.7500 0.1250 1

***

[4]
# AlPCl2F, optimized geometry, DFT PBEsol
# Density of states at the Fermi level in states/eV per cell: 2.60
# Magnetization in μB per cell: 0.00
# Formation energy (no corrections) in meV per atom: -704
# Volume in Å³/f.u.: 83.02
# Calculated density in g/cm3: 3.0
data_AlPCl2F
_chemical_formula_sum 'Al1 P1 Cl2 F1'
_symmetry_space_group_name_H-M 'P 4/m m m'
_symmetry_Int_Tables_number 123
_symmetry_space_group_name_Hall '-P 4 2'
_cell_length_a 4.8149
_cell_length_b 4.8149
_cell_length_c 3.5812
_cell_angle_alpha 90.00
_cell_angle_beta 90.00
_cell_angle_gamma 90.00
loop_
_atom_site_label
_atom_site_type_symbol
_atom_site_fract_x
_atom_site_fract_y
_atom_site_fract_z
_atom_site_occupancy
Al1 Al 0.0000 0.0000 0.0000 1
P1 P 0.5000 0.5000 0.5000 1
Cl1 Cl 0.0000 0.5000 0.0000 1
F1 F 0.0000 0.0000 0.5000 1

***

[5]
# BaMnP2O7, optimized geometry, DFT PBEsol
# Density of states at the Fermi level in states/eV per cell: 0.00
# Magnetization in μB per cell: 20.00
# Formation energy (no corrections) in meV per atom: -2387
# Volume in Å³/f.u.: 153.01
# Calculated density in g/cm3: 4.0
data_BaMnP2O7
_chemical_formula_sum 'Ba4 Mn4 P8 O28'
_symmetry_space_group_name_H-M 'P 1 21/c 1'
_symmetry_Int_Tables_number 14
_cell_length_a 5.5594
_cell_length_b 8.5317
_cell_length_c 14.0069
_cell_angle_alpha 90.00
_cell_angle_beta 112.90
_cell_angle_gamma 90.00
loop_
_symmetry_equiv_pos_as_xyz
'x,y,z'
'-x,-y,-z'
'-x,y+1/2,-z+1/2'
'x,-y+1/2,z+1/2'
loop_
_atom_site_label
_atom_site_type_symbol
_atom_site_fract_x
_atom_site_fract_y
_atom_site_fract_z
_atom_site_occupancy
Ba1 Ba 0.0631 0.1428 0.2814 1
Mn1 Mn 0.4302 0.1585 0.6081 1
P1 P 0.2025 0.6921 0.0177 1
P2 P 0.4137 0.5481 0.6618 1
O1 O 0.0686 0.1657 0.4811 1
O2 O 0.2120 0.6775 0.9099 1
O3 O 0.2782 0.6261 0.5481 1
O4 O 0.2945 0.0779 0.7996 1
O5 O 0.2939 0.6259 0.7326 1
O6 O 0.3380 0.1247 0.1478 1
O7 O 0.4118 0.5914 0.0994 1

***

[6]
# Na2GaCuF7, optimized geometry, DFT PBEsol
# Density of states at the Fermi level in states/eV per cell: 29.72
# Magnetization in μB per cell: 8.02
# Formation energy (no corrections) in meV per atom: -2408
# Volume in Å³/f.u.: 135.20
# Calculated density in g/cm3: 3.8
data_Na2GaCuF7
_chemical_formula_sum 'Na16 Ga8 Cu8 F56'
_symmetry_space_group_name_H-M 'C 1 2/c 1'
_symmetry_Int_Tables_number 15
_cell_length_a 12.3571
_cell_length_b 7.2546
_cell_length_c 12.8047
_cell_angle_alpha 90.00
_cell_angle_beta 109.56
_cell_angle_gamma 90.00
loop_
_symmetry_equiv_pos_as_xyz
'x,y,z'
'-x,-y,-z'
'-x,y,-z+1/2'
'x,-y,z+1/2'
'x+1/2,y+1/2,z'
'-x+1/2,-y+1/2,-z'
'-x+1/2,y+1/2,-z+1/2'
'x+1/2,-y+1/2,z+1/2'
loop_
_atom_site_label
_atom_site_type_symbol
_atom_site_fract_x
_atom_site_fract_y
_atom_site_fract_z
_atom_site_occupancy
Na1 Na 0.0000 0.0000 0.0000 1
Na2 Na 0.0000 0.2320 0.2500 1
Na3 Na 0.2464 0.4656 0.2503 1
Ga1 Ga 0.0000 0.2432 0.7500 1
Ga2 Ga 0.2500 0.2500 0.5000 1
Cu1 Cu 0.0000 0.5000 0.0000 1
Cu2 Cu 0.2500 0.2500 0.0000 1
F1 F 0.0463 0.0511 0.6738 1
F2 F 0.0466 0.4358 0.6733 1
F3 F 0.0902 0.3035 0.4659 1
F4 F 0.1254 0.3282 0.0508 1
F5 F 0.1578 0.2440 0.8430 1
F6 F 0.2060 0.0127 0.5318 1
F7 F 0.2095 0.2039 0.3439 1

***

[7]
# Ta2AlPb, optimized geometry, DFT PBEsol
# Density of states at the Fermi level in states/eV per cell: 2.25
# Magnetization in μB per cell: 0.00
# VASP energy in eV per atom: -8.020
# Volume in Å³/f.u.: 75.12
# Calculated density in g/cm3: 13.2
data_Ta2AlPb
_chemical_formula_sum 'Ta2 Al1 Pb1'
_symmetry_space_group_name_H-M 'P 1 m 1'
_symmetry_Int_Tables_number 6
_cell_length_a 2.9400
_cell_length_b 4.7411
_cell_length_c 5.4707
_cell_angle_alpha 90.00
_cell_angle_beta 99.92
_cell_angle_gamma 90.00
loop_
_symmetry_equiv_pos_as_xyz
'x,y,z'
'x,-y,z'
loop_
_atom_site_label
_atom_site_type_symbol
_atom_site_fract_x
_atom_site_fract_y
_atom_site_fract_z
_atom_site_occupancy
Ta1 Ta 0.0000 0.0000 0.0000 1
Ta2 Ta 0.1690 0.5000 0.7404 1
Al1 Al 0.6974 0.5000 0.1932 1
Pb1 Pb 0.5562 0.0000 0.4938 1

***

[8]
# AlTl2Cu3Se4, optimized geometry, DFT PBEsol
# Density of states at the Fermi level in states/eV per cell: 1.61
# Magnetization in μB per cell: 0.00
# Formation energy (no corrections) in meV per atom: -333
# Volume in Å³/f.u.: 216.26
# Calculated density in g/cm3: 7.2
data_AlTl2Cu3Se4
_chemical_formula_sum 'Al1 Tl2 Cu3 Se4'
_symmetry_space_group_name_H-M 'P -4 m 2'
_symmetry_Int_Tables_number 115
_cell_length_a 3.8813
_cell_length_b 3.8813
_cell_length_c 14.3552
_cell_angle_alpha 90.00
_cell_angle_beta 90.00
_cell_angle_gamma 90.00
loop_
_symmetry_equiv_pos_as_xyz
'x,y,z'
'y,-x,-z'
'-x,-y,z'
'-y,x,-z'
'-x,y,z'
'-y,-x,-z'
'x,-y,z'
'y,x,-z'
loop_
_atom_site_label
_atom_site_type_symbol
_atom_site_fract_x
_atom_site_fract_y
_atom_site_fract_z
_atom_site_occupancy
Al1 Al 0.0000 0.0000 0.0000 1
Tl1 Tl 0.0000 0.5000 0.7102 1
Cu1 Cu 0.0000 0.0000 0.5000 1
Cu2 Cu 0.5000 0.5000 0.0000 1
Cu3 Cu 0.5000 0.5000 0.5000 1
Se1 Se 0.0000 0.5000 0.1067 1
Se2 Se 0.0000 0.5000 0.3917 1